DFT (PBE-GGA) results for a relaxed structure of LaIn2Cu.

Summary:
M_tot: 0.00 μB per cell
space group: No. 166
N(E_F): 2.37 states/eV/cell
crystal system: trigonal
DFT total energy: -3.93 eV per atom

Structure (POSCAR):
```
LaIn2Cu
1.0
2.2670 1.3088 5.7388
-2.2670 1.3088 5.7388
0.0000 -2.6177 5.7388
La In Cu
1 2 1
direct
0.0000 0.0000 0.0000
0.2150 0.2150 0.2150
0.7850 0.7850 0.7850
0.5000 0.5000 0.5000
```


DFT (PBE-GGA) results for a relaxed structure of Ga4I2Cl5.

Summary:
formation energy from raw total energies: -68.7 kJ per mole of atoms
M_tot: 0.83 μB per cell
space group: No. 2
N(E_F): 3.91 states/eV/cell
crystal system: triclinic
DFT total energy: -2.93 eV per atom

Structure (POSCAR):
```
Ga4I2Cl5
1.0
6.5727 0.0000 0.0000
0.5578 7.5902 0.0000
2.4633 2.1652 9.6686
Ga I Cl
4 2 5
direct
0.0807 0.0053 0.3779
0.3150 0.4222 0.2429
0.6850 0.5778 0.7571
0.9193 0.9947 0.6221
0.0131 0.2658 0.7135
0.9869 0.7342 0.2865
0.0171 0.7384 0.7671
0.4291 0.0549 0.3138
0.5000 0.5000 0.0000
0.5709 0.9451 0.6862
0.9829 0.2616 0.2329
```


DFT (PBE-GGA) results for a relaxed structure of ZrTaTc2.

Summary:
M_tot: 0.00 μB per cell
space group: No. 216
N(E_F): 2.33 states/eV/cell
crystal system: cubic
DFT total energy: -10.39 eV per atom

Structure (POSCAR):
```
ZrTaTc2
1.0
0.0000 3.2298 3.2298
3.2298 0.0000 3.2298
3.2298 3.2298 0.0000
Zr Ta Tc
1 1 2
direct
0.0000 0.0000 0.0000
0.7500 0.7500 0.7500
0.2500 0.2500 0.2500
0.5000 0.5000 0.5000
```